Material: TcMo2Cl
Method: DFT, PBE
State: relaxed

Computed properties:
M_tot = 0.0 μB per formula unit
formation energy from raw total energies = 0.557 eV per atom
density of states at the Fermi level = 2.794 states/eV/f.u.
excess energy over the best structure of this formula in the dataset = 30.4 kJ/mol of atoms

a b c (Å): 3.014 3.828 6.242
angles (deg): 90.00 90.00 90.00
Sites, in units of the cell vectors:
Mo  0.000  0.000  0.436
Cl  0.500  0.500  0.750
Mo  0.000  0.000  0.064
Tc  0.500  0.500  0.250

***

Material: HgHS2
Method: DFT, PBE
State: relaxed

Computed properties:
M_tot = 0.7 μB per formula unit
density of states at the Fermi level = 3.936 states/eV/f.u.
excess energy over the best structure of this formula in the dataset = 103.3 kJ/mol of atoms

a b c (Å): 4.586 4.586 4.586
angles (deg): 60.00 60.00 60.00
Sites, in units of the cell vectors:
S  0.250  0.250  0.250
S  0.750  0.750  0.750
H  0.000  0.000  0.000
Hg  0.500  0.500  0.500

***

Material: Ca2AlNi3P4
Method: DFT, PBE
State: relaxed

Computed properties:
M_tot = 0.0 μB per formula unit
ΔH_f (0 K) = -0.767 eV per atom
density of states at the Fermi level = 3.975 states/eV/f.u.

a b c (Å): 3.973 3.973 9.685
angles (deg): 90.00 90.00 90.00
Sites, in units of the cell vectors:
Ni  0.000  0.500  0.115
Ca  0.000  0.500  0.766
P  0.500  0.500  0.000
Ni  0.000  0.000  0.500
P  0.000  0.500  0.354
P  0.500  0.000  0.646
Ni  0.500  0.000  0.885
Al  0.500  0.500  0.500
P  0.000  0.000  0.000
Ca  0.500  0.000  0.234

***

Material: Na8B11C5
Method: DFT, PBE
State: relaxed

Computed properties:
M_tot = 0.0 μB per formula unit
ΔH_f (0 K) = 0.128 eV per atom
density of states at the Fermi level = 1.853 states/eV/f.u.
excess energy over the best structure of this formula in the dataset = 2.5 kJ/mol of atoms

a b c (Å): 9.088 9.085 5.637
angles (deg): 98.92 98.92 32.77
Sites, in units of the cell vectors:
Na  0.503  0.501  0.251
B  0.726  0.025  0.687
B  0.280  0.970  0.313
B  0.510  0.239  0.938
B  0.054  0.697  0.687
B  0.053  0.696  0.188
B  0.472  0.778  0.051
Na  0.003  0.999  0.500
B  0.472  0.778  0.574
C  0.286  0.963  0.812
B  0.726  0.024  0.188
B  0.511  0.240  0.437
Na  0.003  0.999  0.001
B  0.959  0.291  0.812
C  0.212  0.538  0.938
Na  0.753  0.749  0.875
Na  0.752  0.746  0.374
B  0.943  0.307  0.313
C  0.212  0.538  0.437
C  0.787  0.463  0.057
Na  0.248  0.248  0.124
C  0.787  0.463  0.568
Na  0.248  0.248  0.624
Na  0.500  0.501  0.750

***

Material: RbPuTeCl2
Method: DFT, PBE
State: relaxed

Computed properties:
M_tot = 5.0 μB per formula unit
formation energy from raw total energies = -1.612 eV per atom
density of states at the Fermi level = 15.079 states/eV/f.u.

a b c (Å): 4.522 9.227 8.839
angles (deg): 90.00 90.00 104.18
Sites, in units of the cell vectors:
Pu  0.000  0.000  0.500
Rb  0.285  0.570  0.250
Cl  0.850  0.699  0.490
Rb  0.715  0.430  0.750
Cl  0.150  0.301  0.510
Pu  0.000  0.000  0.000
Cl  0.850  0.699  0.010
Te  0.496  0.991  0.750
Cl  0.150  0.301  0.990
Te  0.504  0.009  0.250

***

Material: Ce6PuTh3
Method: DFT, PBE
State: relaxed

Computed properties:
M_tot = 0.1 μB per formula unit
ΔH_f (0 K) = 0.079 eV per atom
density of states at the Fermi level = 22.699 states/eV/f.u.

a b c (Å): 5.095 10.620 10.620
angles (deg): 91.76 90.00 90.00
Sites, in units of the cell vectors:
Th  0.149  0.754  0.918
Th  0.649  0.918  0.754
Ce  0.149  0.753  0.596
Th  0.649  0.246  0.082
Ce  0.149  0.082  0.918
Pu  0.649  0.756  0.244
Ce  0.149  0.417  0.918
Ce  0.149  0.082  0.583
Ce  0.649  0.918  0.417
Ce  0.149  0.736  0.264
Ce  0.649  0.596  0.753
Ce  0.149  0.404  0.247
Ce  0.649  0.247  0.404
Ce  0.649  0.264  0.736
Pu  0.149  0.244  0.756
Th  0.149  0.426  0.574
Th  0.149  0.082  0.246
Ce  0.649  0.583  0.082
Th  0.649  0.574  0.426
Ce  0.649  0.918  0.082

***

Material: Hf2Co4Si3
Method: DFT, PBE
State: relaxed

Computed properties:
M_tot = 0.0 μB per formula unit
formation energy from raw total energies = -0.703 eV per atom
density of states at the Fermi level = 6.498 states/eV/f.u.

a b c (Å): 5.040 6.802 7.330
angles (deg): 90.00 110.11 90.00
Sites, in units of the cell vectors:
Si  0.016  0.750  0.533
Si  0.000  0.000  0.000
Si  0.516  0.750  0.533
Hf  0.103  0.595  0.205
Co  0.684  0.750  0.868
Si  0.500  0.500  0.000
Co  0.184  0.750  0.868
Co  0.679  0.512  0.358
Hf  0.603  0.905  0.205
Co  0.821  0.012  0.642
Co  0.321  0.488  0.642
Si  0.484  0.250  0.467
Co  0.179  0.988  0.358
Hf  0.897  0.405  0.795
Co  0.316  0.250  0.132
Hf  0.397  0.095  0.795
Co  0.816  0.250  0.132
Si  0.984  0.250  0.467

***

Material: PmHoTm14
Method: DFT, PBE
State: relaxed

Computed properties:
M_tot = 0.0 μB per formula unit
ΔH_f (0 K) = 0.010 eV per atom
density of states at the Fermi level = 22.702 states/eV/f.u.

a b c (Å): 7.038 7.038 11.299
angles (deg): 90.00 90.00 119.96
Sites, in units of the cell vectors:
Pm  0.708  0.292  0.500
Tm  0.042  0.458  0.000
Tm  0.875  0.626  0.752
Tm  0.875  0.125  0.752
Tm  0.374  0.125  0.752
Tm  0.208  0.292  0.500
Tm  0.375  0.625  0.250
Tm  0.374  0.125  0.248
Tm  0.542  0.458  0.000
Tm  0.875  0.125  0.248
Tm  0.708  0.792  0.500
Tm  0.542  0.958  0.000
Tm  0.375  0.625  0.750
Ho  0.208  0.792  0.500
Tm  0.875  0.626  0.248
Tm  0.042  0.958  0.000